Record 1
PaNi3Pt | the Alexandria database | GGA-PBE | optimized geometry; energy relative to the elements = 1 meV/atom
1.0
4.5686 0.0000 0.0000
0.0000 4.5686 0.0000
-2.2843 -2.2843 8.9929
Ni Pt Pa
6 2 2
direct
0.3204 0.3204 0.6409 Ni
0.6796 0.6796 0.3591 Ni
0.6165 0.8720 0.7440 Ni
0.1280 0.8726 0.2560 Ni
0.1274 0.8720 0.7440 Ni
0.1280 0.3835 0.2560 Ni
0.0000 0.0000 0.0000 Pt
0.2500 0.7500 0.5000 Pt
0.8997 0.3997 0.7993 Pa
0.6003 0.1003 0.2007 Pa

***

Record 2
Pa2NiPt | the Alexandria database | GGA-PBE | optimized geometry; energy relative to the elements = -462 meV/atom
1.0
3.4925 0.0000 0.0000
0.0000 3.4925 0.0000
0.0000 0.0000 6.5583
Ni Pa Pt
1 2 1
direct
0.5000 0.5000 0.0000 Ni
0.0000 0.0000 0.7732 Pa
0.0000 0.0000 0.2268 Pa
0.5000 0.5000 0.5000 Pt

***

Record 3
PaNi2Pt3 | the Alexandria database | GGA-PBE | optimized geometry; energy relative to the elements = -576 meV/atom
1.0
5.7308 0.0000 0.0000
2.8654 4.9630 0.0000
2.8654 1.6543 6.7247
Ni Pt Pa
4 6 2
direct
0.0000 0.0000 0.0000 Ni
0.5000 0.0000 0.0000 Ni
0.5000 0.5000 0.0000 Ni
0.0000 0.5000 0.0000 Ni
0.7265 0.7265 0.3154 Pt
0.2317 0.7265 0.3154 Pt
0.2735 0.2735 0.6846 Pt
0.7683 0.2735 0.6846 Pt
0.2735 0.7683 0.6846 Pt
0.7265 0.2317 0.3154 Pt
0.7726 0.7726 0.6821 Pa
0.2274 0.2274 0.3179 Pa

***

Record 4
Pa2NiPt2 | the Alexandria database | GGA-PBE | optimized geometry; energy relative to the elements = -613 meV/atom
1.0
-3.4925 0.5551 0.8707
-1.7431 -3.3602 -4.8494
0.0939 -7.4116 5.1019
Ni Pt Pa
2 4 4
direct
0.0000 0.5000 0.5000 Ni
0.0000 0.0000 0.0000 Ni
0.5000 0.2849 0.0982 Pt
0.5000 0.7849 0.4018 Pt
0.5000 0.7151 0.9018 Pt
0.5000 0.2151 0.5982 Pt
0.0000 0.1512 0.3290 Pa
0.0000 0.3488 0.8290 Pa
0.0000 0.8488 0.6710 Pa
0.0000 0.6512 0.1710 Pa

***

Record 5
PaNi8Pt3 | the Alexandria database | GGA-PBE | optimized geometry; energy relative to the elements = -265 meV/atom
1.0
-3.9769 -2.7570 0.1709
4.3555 -1.9853 0.7306
-0.6417 1.3983 7.6254
Ni Pa Pt
8 1 3
direct
0.5029 0.0058 0.7553 Ni
0.9942 0.4971 0.7553 Ni
0.5029 0.4971 0.7553 Ni
0.6706 0.8353 0.2445 Ni
0.1647 0.8353 0.2445 Ni
0.1647 0.3294 0.2445 Ni
0.3333 0.6667 0.9963 Ni
0.3333 0.6667 0.4971 Ni
0.0000 0.0000 0.5674 Pa
0.0000 0.0000 0.9449 Pt
0.6667 0.3333 0.0622 Pt
0.6667 0.3333 0.4329 Pt

***

Record 6
PaNiPt | the Alexandria database | GGA-PBE | optimized geometry; energy relative to the elements = -577 meV/atom
1.0
3.9675 0.0000 0.0000
-1.9838 3.4360 0.0000
0.0000 0.0000 4.2387
Pt Pa Ni
1 1 1
direct
0.6667 0.3333 0.3797 Pt
0.0000 0.0000 0.9827 Pa
0.3333 0.6667 0.6376 Ni

***

Record 7
PaNi6Pt6 | the Alexandria database | GGA-PBE | optimized geometry; energy relative to the elements = -370 meV/atom
1.0
4.9983 0.0000 0.0000
2.4992 6.1134 -0.1251
2.4992 0.0213 6.1146
Ni Pa Pt
6 1 6
direct
0.5000 0.5000 0.0000 Ni
0.5000 0.2374 0.7626 Ni
0.0000 0.0000 0.5000 Ni
0.5000 0.0000 0.5000 Ni
0.5000 0.7626 0.2374 Ni
0.0000 0.5000 0.0000 Ni
0.0000 0.0000 0.0000 Pa
0.0000 0.3384 0.6616 Pt
0.0000 0.6616 0.3384 Pt
0.3397 0.6603 0.6603 Pt
0.3113 0.1887 0.1887 Pt
0.6887 0.8113 0.8113 Pt
0.6603 0.3397 0.3397 Pt

***

Record 8
Pa2Ni4Pt3 | the Alexandria database | GGA-PBE | optimized geometry; energy relative to the elements = -577 meV/atom
1.0
5.2535 -0.1312 0.0000
-2.5578 4.5907 0.0000
-1.3478 -2.2297 6.1447
Ni Pt Pa
4 3 2
direct
0.3348 0.0326 0.3673 Ni
0.9674 0.6652 0.6327 Ni
0.6652 0.9674 0.6327 Ni
0.0326 0.3348 0.3673 Ni
0.0000 0.5000 0.0000 Pt
0.0000 0.0000 0.0000 Pt
0.5000 0.0000 0.0000 Pt
0.6388 0.6388 0.2776 Pa
0.3612 0.3612 0.7224 Pa

***

Record 9
PaNi2Pt2 | the Alexandria database | GGA-PBE | optimized geometry; energy relative to the elements = -570 meV/atom
1.0
-2.2423 -0.4404 -3.5261
-4.6170 -1.5053 0.6205
-2.9757 3.7351 -1.0777
Pt Ni Pa
2 2 1
direct
0.8026 0.6974 0.6974 Pt
0.1974 0.3026 0.3026 Pt
0.5000 0.7055 0.2945 Ni
0.5000 0.2945 0.7055 Ni
0.0000 0.0000 0.0000 Pa

***

Record 10
Pa2Ni3Pt2 | the Alexandria database | GGA-PBE | optimized geometry; energy relative to the elements = -547 meV/atom
1.0
6.8304 0.0000 0.0000
-2.2768 6.4397 0.0000
-2.2768 -3.2199 5.5770
Pa Pt Ni
4 4 6
direct
0.0000 0.0000 0.5127 Pa
0.5000 0.5127 0.5000 Pa
0.4873 0.9873 0.9873 Pa
0.0127 0.5000 0.0000 Pa
0.1076 0.6076 0.6076 Pt
0.3924 0.5000 0.0000 Pt
0.0000 0.0000 0.8924 Pt
0.5000 0.8924 0.5000 Pt
0.2500 0.0393 0.2893 Ni
0.9607 0.2107 0.2500 Ni
0.7893 0.7500 0.0393 Ni
0.7107 0.2500 0.4607 Ni
0.5393 0.2893 0.7500 Ni
0.7500 0.4607 0.2107 Ni

***

Record 11
Pa2Ni6Pt9 | the Alexandria database | GGA-PBE | optimized geometry; energy relative to the elements = -336 meV/atom
1.0
-0.0533 -3.9318 3.5352
4.5805 2.2526 -1.3801
-1.2786 8.1227 9.0147
Ni Pt Pa
6 9 2
direct
0.6667 0.3333 0.3337 Ni
0.6667 0.3333 0.0000 Ni
0.3333 0.6667 0.0000 Ni
0.3333 0.6667 0.3337 Ni
0.3333 0.6667 0.6663 Ni
0.6667 0.3333 0.6663 Ni
0.5000 0.0000 0.5000 Pt
0.5000 0.0000 0.8329 Pt
0.0000 0.5000 0.1671 Pt
0.5000 0.0000 0.1671 Pt
0.5000 0.5000 0.1671 Pt
0.5000 0.5000 0.8329 Pt
0.0000 0.5000 0.8329 Pt
0.0000 0.5000 0.5000 Pt
0.5000 0.5000 0.5000 Pt
0.0000 0.0000 0.6876 Pa
0.0000 0.0000 0.3124 Pa

***

Record 12
Pa2Ni3Pt | the Alexandria database | GGA-PBE | optimized geometry; energy relative to the elements = -508 meV/atom
1.0
5.7118 1.0637 0.0000
0.7097 5.7665 0.0000
-3.2108 -3.4151 6.6791
Pt Ni Pa
2 6 4
direct
0.3389 0.3389 0.6778 Pt
0.6611 0.6611 0.3222 Pt
0.1472 0.1472 0.2943 Ni
0.1503 0.1503 0.8135 Ni
0.6632 0.6632 0.8135 Ni
0.8528 0.8528 0.7057 Ni
0.3368 0.3368 0.1865 Ni
0.8497 0.8497 0.1865 Ni
0.7569 0.2431 0.0000 Pa
0.2431 0.7569 0.0000 Pa
0.7500 0.2500 0.5000 Pa
0.2500 0.7500 0.5000 Pa

***

energy relative to the elements of number 1 (PaNi3Pt)?
1 meV/atom